{"formula": "Ba2InF6", "functional": "PBE", "state": "relaxed", "mass_density_g_cm3": 4.76, "total_magnetization_mub_per_cell": 1.56, "e_tot_ev_per_atom": -5.16, "lattice": [[6.6847, 0.0000, -0.4639], [0.0000, 7.7427, 0.0000], [-1.7552, 0.0000, 6.9053]], "species": ["Ba", "Ba", "Ba", "Ba", "In", "In", "F", "F", "F", "F", "F", "F", "F", "F", "F", "F", "F", "F"], "frac_coords": [[0.8267, 0.3984, 0.6759], [0.6733, 0.8984, 0.8241], [0.3267, 0.1016, 0.1759], [0.1733, 0.6016, 0.3241], [0.5000, 0.5000, 0.0000], [0.0000, 0.0000, 0.5000], [0.9768, 0.9228, 0.1797], [0.9309, 0.7071, 0.5625], [0.8268, 0.5923, 0.0058], [0.6732, 0.0923, 0.4942], [0.5691, 0.2071, 0.9375], [0.5232, 0.4228, 0.3203], [0.0232, 0.0772, 0.8203], [0.0691, 0.2929, 0.4375], [0.1732, 0.4077, 0.9942], [0.3268, 0.9077, 0.5058], [0.4309, 0.7929, 0.0625], [0.4768, 0.5772, 0.6797]]}